[1]
Tb6TlHg6 PBE-GGA optimized geometry; electronic total energy = -2.73 eV per atom; size of the total moment = 1.7 μB per cell; formation enthalpy at 0 K = -273 meV per atom
1.0
-0.5669 5.7424 2.4310
-5.0676 -3.6042 -0.7322
1.4145 -3.9525 9.6661
Tb Hg Tl
6 6 1
Cartesian
-1.3599 0.6506 6.2097
-2.8601 -2.4648 5.1553
0.9547 -2.6675 6.5236
0.4599 -1.2850 3.1425
-2.0672 2.6268 1.3766
-3.5673 -0.4885 0.3223
-2.4657 0.0867 3.2521
0.7795 -0.0988 8.4789
-1.4709 -4.7721 6.8973
0.0681 1.8888 3.6182
-2.1822 -2.7845 2.0366
-1.7543 -1.9009 8.1128
0.0000 0.0000 0.0000


[2]
Tb2TlHg4 PBE-GGA optimized geometry; E above lowest polymorph = 180.3 meV/atom; electronic total energy = -1.93 eV per atom; size of the total moment = 0.0 μB per cell; formation enthalpy at 0 K = -99 meV per atom
1.0
-2.5684 0.9675 -5.0581
-2.0281 -5.3855 -0.0003
-2.7144 4.0965 5.4356
Hg Tb Tl
4 2 1
Cartesian
-1.0140 -2.6928 -0.0002
-3.7905 1.4275 -1.0759
-1.2842 0.4838 -2.5290
-3.5203 -1.7490 1.4530
-3.5817 1.3486 2.0767
-3.7292 -1.6702 -1.6996
0.0000 0.0000 0.0000